# 1
Entry from Alexandria via LeMat-Bulk: a geometry-optimized Ce4YTh5 structure (GGA-PBE).

Structure (POSCAR):
```
Ce4YTh5
1.0
3.505 0.000 0.000
0.000 3.505 0.000
0.000 0.000 24.482
Ce Y Th
4 1 5
Cartesian
0.000 0.000 2.412
0.000 0.000 7.220
0.000 0.000 17.262
0.000 0.000 22.070
0.000 0.000 12.241
1.753 1.753 0.000
1.753 1.753 4.820
1.753 1.753 9.652
1.753 1.753 14.830
1.753 1.753 19.662
```

Output
- E_form (meV per atom) = 19


# 2
Entry from Alexandria via LeMat-Bulk: a geometry-optimized LaTb2Pr3S6 structure (GGA-PBE).

Structure (POSCAR):
```
LaTb2Pr3S6
1.0
3.503 -6.082 0.000
3.503 6.082 0.000
-2.347 0.000 6.638
La Tb Pr S
1 2 3 6
Cartesian
0.000 0.000 0.000
3.503 2.031 0.000
3.503 -2.031 0.000
2.330 4.099 3.319
2.330 0.000 3.319
2.330 -4.099 3.319
1.201 2.088 1.597
0.064 0.000 5.069
1.201 -2.088 1.597
3.459 2.088 5.042
4.596 0.000 1.569
3.459 -2.088 5.042
```

Output
- raw formation energy (eV per atom) = -2.04


# 3
Entry from Alexandria via LeMat-Bulk: a geometry-optimized RbNaIrCl6 structure (GGA-PBE).

Structure (POSCAR):
```
RbNaIrCl6
1.0
6.889 0.000 0.000
-3.444 5.966 0.000
0.000 0.000 7.047
Rb Na Ir Cl
1 1 1 6
Cartesian
0.000 0.000 0.000
0.000 3.977 3.524
3.444 1.989 3.524
2.534 0.309 4.885
1.535 2.040 2.163
4.354 0.309 2.163
2.445 3.616 4.885
5.354 2.040 4.885
4.444 3.616 2.163
```

Output
- raw formation energy (eV per atom) = -1.09


# 4
Entry from Alexandria via LeMat-Bulk: a geometry-optimized SrIn2SnPb structure (GGA-PBE).

Structure (POSCAR):
```
SrIn2SnPb
1.0
2.184 -9.304 0.000
2.184 9.304 0.000
0.000 0.000 8.349
Sr In Sn Pb
2 4 2 2
Cartesian
2.184 7.366 6.262
2.184 -7.366 2.087
2.184 3.118 4.673
2.184 3.118 7.851
2.184 -3.118 0.499
2.184 -3.118 3.676
2.184 4.832 2.087
2.184 -4.832 6.262
2.184 0.000 0.000
2.184 0.000 4.175
```

Output
- E_form (meV per atom) = -140